No. 1
8
Lattice="2.610 1.507 8.814 -2.610 1.507 8.814 0.000 -3.014 8.814" Properties=species:S:1:pos:R:3 comment="ErTm2MgTl4 (PBE-GGA, relaxed)" delta_e_f_ev_per_atom=-0.25 density_g_cm3=10.8 pbc="T T T"
Er 0.000 0.000 0.000
Tm 0.000 0.000 6.480
Tm 0.000 0.000 19.964
Mg 0.000 0.000 13.222
Tl 0.000 0.000 3.297
Tl 0.000 0.000 9.940
Tl 0.000 0.000 16.503
Tl 0.000 0.000 23.146

---

No. 2
12
Lattice="6.771 0.000 0.000 0.000 18.358 0.000 0.000 0.000 3.509" Properties=species:S:1:pos:R:3 comment="AcPr2SmY2 (PBE-GGA, relaxed)" delta_e_f_ev_per_atom=0.27 density_g_cm3=6.4 pbc="T T T"
Ac 0.000 0.000 0.000
Ac 3.385 9.179 1.754
Pr 1.399 6.365 1.754
Pr 1.986 15.544 0.000
Pr 4.785 2.814 0.000
Pr 5.371 11.993 1.754
Sm 0.000 9.179 0.000
Sm 3.385 0.000 1.754
Y 1.443 3.352 0.000
Y 1.942 12.531 1.754
Y 4.829 5.827 1.754
Y 5.327 15.006 0.000

---

No. 3
11
Lattice="9.673 -2.722 0.000 9.673 2.722 0.000 -1.822 0.000 6.918" Properties=species:S:1:pos:R:3 comment="Pr8CdIn2 (PBE-GGA, relaxed)" delta_e_f_ev_per_atom=-0.19 density_g_cm3=6.7 pbc="T T T"
Pr -0.200 0.000 1.818
Pr 2.492 0.000 5.488
Pr 5.617 0.000 3.693
Pr 7.794 0.000 0.224
Pr 9.730 0.000 6.695
Pr 11.907 0.000 3.225
Pr 15.032 0.000 1.430
Pr 17.724 0.000 5.100
Cd 8.762 0.000 3.459
In 3.113 0.000 1.598
In 14.411 0.000 5.320

---

No. 4
4
Lattice="4.054 0.000 0.000 0.000 4.054 0.000 0.000 0.000 7.711" Properties=species:S:1:pos:R:3 comment="LaNd2Hf (PBE-GGA, relaxed)" delta_e_f_ev_per_atom=0.23 density_g_cm3=7.9 pbc="T T T"
La 0.000 0.000 0.000
Nd 2.027 2.027 2.225
Nd 2.027 2.027 5.485
Hf 0.000 0.000 3.855

---

No. 5
5
Lattice="5.480 0.000 0.000 0.000 5.480 0.000 0.000 0.000 6.920" Properties=species:S:1:pos:R:3 comment="CsBaHgW2 (PBE-GGA, relaxed)" delta_e_f_ev_per_atom=2.71 density_g_cm3=6.7 pbc="T T T"
Cs 0.000 0.000 0.000
Ba 0.000 0.000 3.460
Hg 2.740 2.740 0.000
W 0.000 2.740 3.460
W 2.740 0.000 3.460

---

No. 6
22
Lattice="1.989 -6.536 0.000 1.989 6.536 0.000 0.000 0.000 19.941" Properties=species:S:1:pos:R:3 comment="Ho6AsP4 (PBE-GGA, relaxed)" delta_e_f_ev_per_atom=-1.46 density_g_cm3=7.6 pbc="T T T"
Ho 0.000 0.000 0.000
Ho 0.000 0.000 9.971
Ho 1.989 4.189 14.956
Ho 1.989 2.959 1.631
Ho 1.989 2.959 8.340
Ho 1.989 0.557 13.211
Ho 1.989 0.557 16.700
Ho 1.989 -0.557 3.241
Ho 1.989 -0.557 6.730
Ho 1.989 -2.959 11.601
Ho 1.989 -2.959 18.310
Ho 1.989 -4.189 4.985
As 1.989 4.423 4.985
As 1.989 -4.423 14.956
P 1.989 5.331 12.506
P 1.989 5.331 17.405
P 1.989 1.786 10.831
P 1.989 1.786 19.080
P 1.989 -1.786 0.861
P 1.989 -1.786 9.110
P 1.989 -5.331 2.536
P 1.989 -5.331 7.435

---

No. 7
4
Lattice="3.244 0.000 0.000 0.000 3.244 0.000 0.000 0.000 8.996" Properties=species:S:1:pos:R:3 comment="PmPaAg2 (PBE-GGA, relaxed)" delta_e_f_ev_per_atom=0.06 density_g_cm3=10.4 pbc="T T T"
Pm 0.000 0.000 0.000
Pa 0.000 0.000 4.498
Ag 1.622 1.622 2.281
Ag 1.622 1.622 6.715

---

No. 8
10
Lattice="8.415 0.000 0.000 0.000 3.937 0.000 -2.671 0.000 11.047" Properties=species:S:1:pos:R:3 comment="PmHoI3 (PBE-GGA, relaxed)" dft_energy_ev_per_cell=-37.8 density_g_cm3=6.3 pbc="T T T"
Pm -0.213 0.984 1.481
Pm 5.957 2.953 9.566
Ho 3.138 2.953 4.017
Ho 2.605 0.984 7.030
I 0.759 0.984 4.516
I 0.429 2.953 8.052
I 2.276 2.953 1.001
I 3.467 0.984 10.046
I 5.315 0.984 2.995
I 4.984 2.953 6.532

---

No. 9
8
Lattice="3.813 0.000 0.000 0.000 3.813 0.000 0.000 0.000 15.447" Properties=species:S:1:pos:R:3 comment="Nd3DyCd4 (PBE-GGA, relaxed)" delta_e_f_ev_per_atom=-0.32 density_g_cm3=7.7 pbc="T T T"
Nd 0.000 0.000 0.000
Nd 0.000 0.000 3.933
Nd 0.000 0.000 11.514
Dy 0.000 0.000 7.724
Cd 1.906 1.906 1.953
Cd 1.906 1.906 5.939
Cd 1.906 1.906 9.508
Cd 1.906 1.906 13.494

---

No. 10
4
Lattice="7.229 -1.754 0.000 7.229 1.754 0.000 -1.661 0.000 4.629" Properties=species:S:1:pos:R:3 comment="AlTl2Br (PBE-GGA, relaxed)" dft_energy_ev_per_cell=-10.3 density_g_cm3=7.3 pbc="T T T"
Al 0.000 0.000 0.000
Tl 3.180 0.000 3.761
Tl 9.617 0.000 0.868
Br 6.398 0.000 2.314